The following is a PBE-GGA calculation of a relaxed structure of YTa2Cu, from Alexandria.

```
YTa2Cu
1.0
-1.660 3.856 3.013
-3.830 3.307 1.049
-2.803 -2.769 3.870
Cu Ta Y
1 2 1
Direct
0.273 0.273 0.261
0.980 0.980 0.955
0.728 0.728 0.834
0.520 0.520 0.449
```

DOS(E_F)	2.99	states/eV per cell
V	19.91	A^3/atom
M_tot	0.000	μB/f.u.
ΔE_f	0.3554	eV per atom
space-group type	No. 8